The following is a PBE calculation of Ho15Er2Sc2 after structural relaxation, from the Alexandria database.

a b c (Å): 8.5918 8.5918 8.5918
angles (deg): 79.40 79.40 79.40
Sites, in units of the cell vectors:
Ho: 0.0000 0.5000 0.0000
Ho: 0.0000 0.0000 0.5000
Ho: 0.5000 0.0000 0.0000
Ho: 0.2955 0.0000 0.7045
Ho: 0.7045 0.2955 0.0000
Ho: 0.0000 0.7045 0.2955
Ho: 0.2955 0.7045 0.0000
Ho: 0.0000 0.2955 0.7045
Ho: 0.7045 0.0000 0.2955
Ho: 0.3685 0.8545 0.3685
Ho: 0.3685 0.3685 0.8545
Ho: 0.8545 0.3685 0.3685
Ho: 0.6315 0.1455 0.6315
Ho: 0.6315 0.6315 0.1455
Ho: 0.1455 0.6315 0.6315
Er: 0.6812 0.6812 0.6812
Er: 0.3188 0.3188 0.3188
Sc: 0.9093 0.9093 0.9093
Sc: 0.0907 0.0907 0.0907

Summary:
- ΔH_f (0 K) (eV per atom) = 0.30
- symmetry = R-3m (166)
- crystal system = trigonal
- M_tot (μB/f.u.) = 0.00

---

The following is a PBE calculation of As4Pb6Br after structural relaxation, from the Alexandria database.

a b c (Å): 4.3415 7.5310 21.6255
angles (deg): 90.00 90.00 106.75
Sites, in units of the cell vectors:
As: 0.8668 0.7337 0.5471
As: 0.4122 0.8244 0.1257
As: 0.1332 0.2663 0.4529
As: 0.5878 0.1756 0.8743
As: 0.8668 0.7337 0.9529
As: 0.1332 0.2663 0.0471
As: 0.5878 0.1756 0.6257
As: 0.4122 0.8244 0.3743
Pb: 0.5000 0.0000 0.0000
Pb: 0.5000 0.0000 0.5000
Pb: 0.0338 0.0676 0.3348
Pb: 0.9662 0.9324 0.6652
Pb: 0.9662 0.9324 0.8348
Pb: 0.0338 0.0676 0.1652
Pb: 0.7729 0.5458 0.4270
Pb: 0.2271 0.4542 0.5730
Pb: 0.2271 0.4542 0.9270
Pb: 0.7729 0.5458 0.0730
Pb: 0.3411 0.6823 0.2500
Pb: 0.6589 0.3177 0.7500
Br: 0.6949 0.3898 0.2500
Br: 0.3051 0.6102 0.7500

Summary:
- symmetry = Cmcm (63)
- crystal system = orthorhombic
- M_tot (μB/f.u.) = 0.00
- calculated total energy (eV per atom) = -3.967

---

> What is the M_tot in the second record?

0.00 μB/f.u.

---

> What is the M_tot in the first record?

0.00 μB/f.u.